Density functional theory data (GGA-PBE) for NbNi2Pd after structural relaxation.

The energy of formation is -0.189 eV per atom. As for the crystal system: tetragonal. As for the calculated volume: 55.81 Å³ per cell. For the energy relative to the lowest polymorph listed for this composition, the calculation gives 0.101 eV per atom.

It has space group P4/mmm (No. 123), with a = 3.2220 Å, b = 3.2220 Å, c = 5.3757 Å, α = 90.00°, β = 90.00° and γ = 90.00°. The asymmetric unit holds Nb at (0.0000, 0.0000, 0.0000), Ni at (0.5000, 0.5000, 0.2384) and Pd at (0.0000, 0.0000, 0.5000).